Entry from Alexandria via LeMat-Bulk: an optimized crystal structure of LiUSb2 (PBE).

a = 3.829 Å, b = 3.829 Å, c = 6.584 Å
α = 90.00°, β = 90.00°, γ = 90.00°
Atoms (fractional coordinates):
Sb (0.000, 0.000, 0.762)
Sb (0.000, 0.000, 0.238)
U (0.500, 0.500, 0.500)
Li (0.500, 0.500, 0.000)

Formation energy from raw total energies, eV per atom: -0.235
Energy above the lowest structure with this stoichiometry, meV per atom: 139
Size of the total moment, μB per cell: 2.80
Space-group type: No. 123